(1)
## Zr2Mo (PBE)

Data for a geometry-optimized Zr2Mo structure.

The value obtained for the density of states at the Fermi level is 15.25 states/eV/cell. As for the total energy: -27.7 eV/f.u. The value obtained for the polymorph energy (0 for the lowest one) is 74 meV per atom. Its formation energy is 0.220 eV per formula unit.

The space group is Fmmm (No. 69) and the conventional cell measures 3.361, 5.167 and 14.073 Å, with angles of 90.00, 90.00 and 90.00 degrees. The distinct sites, in fractional coordinates, are Zr at (0.000, 0.000, 0.152) and Mo at (0.000, 0.000, 0.500).


(2)
## CoBi (PBE)

Data for a geometry-optimized CoBi structure.

The value obtained for the density of states at the Fermi level is 4.09 states/eV/cell. As for the total energy: -10.4 eV/f.u. Its formation energy is 0.568 eV per formula unit.

The space group is P2_1/m (No. 11) and the conventional cell measures 3.952, 3.971 and 5.348 Å, with angles of 90.00, 111.50 and 90.00 degrees. The distinct sites, in fractional coordinates, are Co at (0.063, 0.250, 0.127) and Bi at (0.358, 0.250, 0.713).